Below is CsRbTl2Au after structural relaxation, with properties calculated at the GGA-PBE level.

Output
- Energy of formation from the pure elements: 8 meV/atom
- Volume: 225 Å³/cell
- Polymorph energy (0 for the lowest one): 29 meV/atom

Lattice parameters (Å, degrees): 5.824 5.824 6.620 90.00 90.00 90.00
Sites, in units of the cell vectors:
Cs  0.000  0.000  0.000
Rb  0.500  0.500  0.000
Tl  0.000  0.500  0.500
Tl  0.500  0.000  0.500
Au  0.000  0.000  0.500